{
  "formula": "ScCu2As",
  "functional": "PBE-GGA",
  "state": "optimized geometry",
  "lattice_angstrom": [[3.236, 0.000, 0.000], [0.000, 4.234, 0.000], [-0.010, 0.000, 4.836]],
  "species": ["Sc", "Cu", "Cu", "As"],
  "fractional_positions": [[0.000, 0.000, 0.000], [0.500, 0.500, 0.242], [0.500, 0.500, 0.758], [0.500, 0.000, 0.500]],
  "sg": "P2/m",
  "magnetic_moment_mub_per_cell": 0.000,
  "delta_e_f_mev_per_atom": -338.4
}